Run w
Material: KFe3Hg
Method: DFT, PBE
State: optimized geometry Values from VASP.

## Properties
V in Å³/atom: 26.1
Calculated density in g cm⁻³: 5.2
Space-group type: Pm-3m, No. 221
Total moment in μB/atom: 1.94

Geometry as Quantum ESPRESSO input:
```
&SYSTEM
  ibrav = 0, nat = 5, ntyp = 3
/
ATOMIC_SPECIES
K 39.10 K.upf
Fe 55.84 Fe.upf
Hg 200.59 Hg.upf
ATOMIC_POSITIONS angstrom
K 0.000 0.000 0.000
Fe 0.000 2.535 2.535
Fe 2.535 0.000 2.535
Fe 2.535 2.535 0.000
Hg 2.535 2.535 2.535
CELL_PARAMETERS angstrom
5.070 0.000 0.000
0.000 5.070 0.000
0.000 0.000 5.070
```

=====

Run x
Material: KFe3Hg
Method: DFT, PBE
State: optimized geometry Values from VASP.

## Properties
V in Å³/atom: 18.8
Calculated density in g cm⁻³: 7.2
Space-group type: Pm-3m, No. 221
Total moment in μB/atom: 1.54

Geometry as Quantum ESPRESSO input:
```
&SYSTEM
  ibrav = 0, nat = 5, ntyp = 3
/
ATOMIC_SPECIES
K 39.10 K.upf
Fe 55.84 Fe.upf
Hg 200.59 Hg.upf
ATOMIC_POSITIONS angstrom
K 0.000 0.000 0.000
Fe 0.000 0.000 2.275
Fe 0.000 2.275 0.000
Fe 2.275 0.000 0.000
Hg 2.275 2.275 2.275
CELL_PARAMETERS angstrom
4.550 0.000 0.000
0.000 4.550 0.000
0.000 0.000 4.550
```

=====

Most stable of them? run w.

=====

Run w
Material: KFeHg2
Method: DFT, PBE
State: optimized geometry Values from VASP.

## Properties
V in Å³/atom: 28.5
Calculated density in g cm⁻³: 7.2
Space-group type: P4mm, No. 99
Total moment in μB/atom: 0.63

Geometry as Quantum ESPRESSO input:
```
&SYSTEM
  ibrav = 0, nat = 4, ntyp = 3
/
ATOMIC_SPECIES
K 39.10 K.upf
Fe 55.84 Fe.upf
Hg 200.59 Hg.upf
ATOMIC_POSITIONS angstrom
K 0.000 0.000 0.000
Fe 1.871 1.871 3.048
Hg 0.000 0.000 3.313
Hg 1.871 1.871 5.765
CELL_PARAMETERS angstrom
3.743 0.000 0.000
0.000 3.743 0.000
0.000 0.000 8.144
```

=====

Run x
Material: KFeHg2
Method: DFT, PBE
State: optimized geometry Values from VASP.

## Properties
V in Å³/atom: 29.2
Calculated density in g cm⁻³: 7.0
Space-group type: R-3m, No. 166
Total moment in μB/atom: 0.72

Geometry as Quantum ESPRESSO input:
```
&SYSTEM
  ibrav = 0, nat = 4, ntyp = 3
/
ATOMIC_SPECIES
K 39.10 K.upf
Fe 55.84 Fe.upf
Hg 200.59 Hg.upf
ATOMIC_POSITIONS angstrom
K 0.000 0.000 0.000
Fe 0.000 0.000 9.274
Hg 0.000 0.000 3.756
Hg 0.000 0.000 14.791
CELL_PARAMETERS angstrom
2.336 1.349 6.183
-2.336 1.349 6.183
0.000 -2.697 6.183
```

=====

Most stable of them? run x.